Entry a
Entry from Alexandria via LeMat-Bulk: a geometry-optimized LaSm2Dy9 structure (PBE).

total magnetization = 0.00 μB/cell
space-group type = P4/mmm, No. 123

Unit cell a=5.055 b=5.055 c=15.174 alpha=90.00 beta=90.00 gamma=90.00
Fractional coordinates of all 12 atoms:
Dy 0.500 0.000 0.500
La 0.000 0.000 0.000
Dy 0.000 0.500 0.169
Dy 0.500 0.000 0.831
Dy 0.000 0.500 0.831
Dy 0.500 0.500 0.000
Sm 0.000 0.000 0.334
Sm 0.000 0.000 0.666
Dy 0.000 0.500 0.500
Dy 0.500 0.500 0.335
Dy 0.500 0.000 0.169
Dy 0.500 0.500 0.665



Entry b
Entry from Alexandria via LeMat-Bulk: a geometry-optimized LaSm2Dy9 structure (PBE).

total magnetization = 0.00 μB/cell
space-group type = P6/mmm, No. 191

Unit cell a=3.531 b=11.320 c=11.320 alpha=120.00 beta=90.00 gamma=90.00
Fractional coordinates of all 12 atoms:
Dy 0.000 0.500 0.500
Sm 0.000 0.333 0.667
Dy 0.500 0.645 0.823
Dy 0.500 0.823 0.177
Dy 0.500 0.177 0.823
La 0.000 0.000 0.000
Dy 0.500 0.177 0.355
Dy 0.500 0.823 0.645
Sm 0.000 0.667 0.333
Dy 0.500 0.355 0.177
Dy 0.000 0.500 0.000
Dy 0.000 0.000 0.500



Short version: entry a, entry b, most stable first.



Entry a
Entry from Alexandria via LeMat-Bulk: a geometry-optimized La2SmDy3 structure (PBE).

total magnetization = 0.00 μB/cell
space-group type = C2/c, No. 15

Unit cell a=6.755 b=10.283 c=10.283 alpha=68.63 beta=49.24 gamma=49.24
Fractional coordinates of all 12 atoms:
Sm 0.500 0.000 0.000
Dy 0.670 0.664 0.665
La 0.091 0.071 0.590
Dy 0.250 0.269 0.731
La 0.909 0.929 0.410
La 0.409 0.410 0.929
Dy 0.830 0.335 0.336
La 0.591 0.590 0.071
Dy 0.750 0.731 0.269
Sm 0.000 0.000 0.000
Dy 0.330 0.336 0.335
Dy 0.170 0.665 0.664



Entry b
Entry from Alexandria via LeMat-Bulk: a geometry-optimized La2SmDy3 structure (PBE).

total magnetization = 0.00 μB/cell
space-group type = C2/c, No. 15

Unit cell a=6.958 b=7.035 c=9.281 alpha=100.90 beta=112.02 gamma=90.00
Fractional coordinates of all 12 atoms:
La 0.671 0.589 0.352
La 0.329 0.411 0.648
La 0.681 0.089 0.352
Dy 0.141 0.068 0.275
Dy 0.737 0.250 0.000
Sm 0.264 0.250 0.000
Dy 0.134 0.568 0.275
Sm 0.736 0.750 0.000
La 0.319 0.911 0.648
Dy 0.263 0.750 0.000
Dy 0.859 0.932 0.725
Dy 0.866 0.432 0.725



Short version: entry b, entry a, most stable first.



Entry a
Entry from Alexandria via LeMat-Bulk: a geometry-optimized La4Sm3Dy2 structure (PBE).

total magnetization = 0.00 μB/cell
space-group type = C2/m, No. 12

Unit cell a=3.715 b=6.788 c=14.829 alpha=64.23 beta=90.00 gamma=105.88
Fractional coordinates of all 9 atoms:
Dy 0.341 0.682 0.210
La 0.112 0.225 0.605
Sm 0.618 0.237 0.386
La 0.349 0.698 0.872
Dy 0.659 0.318 0.790
La 0.651 0.302 0.128
La 0.888 0.775 0.395
Sm 0.000 0.000 0.000
Sm 0.382 0.763 0.614



Entry b
Entry from Alexandria via LeMat-Bulk: a geometry-optimized La4Sm3Dy2 structure (PBE).

total magnetization = 0.00 μB/cell
space-group type = C2/m, No. 12

Unit cell a=5.205 b=8.145 c=8.197 alpha=107.37 beta=108.51 gamma=90.00
Fractional coordinates of all 9 atoms:
Dy 0.332 0.000 0.665
La 0.777 0.669 0.553
Sm 0.888 0.329 0.776
Sm 0.112 0.671 0.224
Dy 0.668 0.000 0.335
La 0.445 0.670 0.891
La 0.223 0.331 0.447
La 0.555 0.330 0.109
Sm 0.000 0.000 0.000



Short version: entry b, entry a, most stable first.



Entry a
Entry from Alexandria via LeMat-Bulk: a geometry-optimized La6SmDy2 structure (PBE).

total magnetization = 0.00 μB/cell
space-group type = Cmmm, No. 65

Unit cell a=3.702 b=10.179 c=10.179 alpha=55.81 beta=90.00 gamma=90.00
Fractional coordinates of all 9 atoms:
Dy 0.500 0.825 0.825
La 0.500 0.676 0.324
La 0.000 0.838 0.493
La 0.000 0.507 0.162
La 0.000 0.162 0.507
Dy 0.500 0.175 0.175
La 0.000 0.493 0.838
Sm 0.000 0.000 0.000
La 0.500 0.324 0.676



Entry b
Entry from Alexandria via LeMat-Bulk: a geometry-optimized La6SmDy2 structure (PBE).

total magnetization = 0.00 μB/cell
space-group type = P-6m2, No. 187

Unit cell a=3.669 b=3.669 c=27.653 alpha=90.00 beta=90.00 gamma=120.00
Fractional coordinates of all 9 atoms:
Dy 0.667 0.333 0.670
La 0.667 0.333 0.109
Dy 0.667 0.333 0.330
Sm 0.333 0.667 0.000
La 0.333 0.667 0.434
La 0.333 0.667 0.777
La 0.667 0.333 0.891
La 0.333 0.667 0.223
La 0.333 0.667 0.566



Short version: entry b, entry a, most stable first.



Entry a
Entry from Alexandria via LeMat-Bulk: a geometry-optimized La3SmDy3 structure (PBE).

total magnetization = 0.00 μB/cell
space-group type = R-3, No. 148

Unit cell a=8.345 b=8.345 c=8.345 alpha=69.44 beta=69.44 gamma=69.44
Fractional coordinates of all 14 atoms:
La 0.165 0.872 0.730
Dy 0.310 0.446 0.025
Dy 0.025 0.310 0.446
Dy 0.690 0.554 0.975
La 0.872 0.730 0.165
Dy 0.446 0.025 0.310
Dy 0.975 0.690 0.554
La 0.270 0.835 0.128
Sm 0.409 0.409 0.409
Dy 0.554 0.975 0.690
La 0.730 0.165 0.872
La 0.835 0.128 0.270
La 0.128 0.270 0.835
Sm 0.591 0.591 0.591



Entry b
Entry from Alexandria via LeMat-Bulk: a geometry-optimized La3SmDy3 structure (PBE).

total magnetization = 0.00 μB/cell
space-group type = P6_3/m, No. 176

Unit cell a=5.844 b=9.793 c=9.793 alpha=120.00 beta=90.00 gamma=90.00
Fractional coordinates of all 14 atoms:
Dy 0.750 0.769 0.955
La 0.250 0.376 0.472
Dy 0.250 0.955 0.186
La 0.750 0.624 0.528
Sm 0.250 0.667 0.333
Dy 0.750 0.045 0.814
La 0.250 0.096 0.624
La 0.750 0.472 0.096
Dy 0.750 0.186 0.231
La 0.750 0.904 0.376
Dy 0.250 0.231 0.045
La 0.250 0.528 0.904
Sm 0.750 0.333 0.667
Dy 0.250 0.814 0.769



Short version: entry b, entry a, most stable first.



Entry a
Entry from Alexandria via LeMat-Bulk: a geometry-optimized La8Sm2Dy structure (PBE).

total magnetization = 0.00 μB/cell
space-group type = C2/m, No. 12

Unit cell a=5.242 b=8.262 c=9.760 alpha=104.62 beta=105.58 gamma=90.00
Fractional coordinates of all 11 atoms:
La 0.409 0.547 0.818
La 0.863 0.817 0.727
La 0.319 0.088 0.638
La 0.681 0.912 0.362
Dy 0.500 0.000 0.000
La 0.591 0.453 0.182
Sm 0.774 0.365 0.547
Sm 0.226 0.635 0.453
La 0.137 0.183 0.273
La 0.046 0.728 0.093
La 0.954 0.272 0.907



Entry b
Entry from Alexandria via LeMat-Bulk: a geometry-optimized La8Sm2Dy structure (PBE).

total magnetization = 0.00 μB/cell
space-group type = C2/m, No. 12

Unit cell a=6.100 b=9.652 c=9.652 alpha=122.42 beta=105.63 gamma=105.63
Fractional coordinates of all 11 atoms:
La 0.500 0.205 0.795
Sm 0.000 0.310 0.690
La 0.817 0.668 0.904
La 0.500 0.795 0.205
Dy 0.500 0.000 0.000
La 0.701 0.420 0.420
Sm 0.000 0.690 0.310
La 0.183 0.096 0.332
La 0.299 0.580 0.580
La 0.183 0.332 0.096
La 0.817 0.904 0.668



Short version: entry a, entry b, most stable first.



Entry a
Entry from Alexandria via LeMat-Bulk: a geometry-optimized La12Sm7Dy structure (PBE).

total magnetization = 0.00 μB/cell
space-group type = R-3m, No. 166

Unit cell a=6.426 b=11.581 c=11.581 alpha=116.66 beta=100.66 gamma=100.66
Fractional coordinates of all 20 atoms:
La 0.571 0.645 0.000
La 0.571 0.000 0.645
La 0.074 0.645 0.645
La 0.093 0.592 0.185
La 0.429 0.000 0.355
La 0.500 0.408 0.592
La 0.500 0.592 0.408
La 0.926 0.355 0.355
Sm 0.884 0.000 0.251
La 0.907 0.408 0.815
Dy 0.000 0.000 0.000
La 0.092 0.185 0.592
La 0.429 0.355 0.000
La 0.908 0.815 0.408
Sm 0.115 0.749 0.000
Sm 0.634 0.749 0.749
Sm 0.116 0.000 0.749
Sm 0.885 0.251 0.000
Sm 0.366 0.251 0.251
Sm 0.500 0.000 0.000



Entry b
Entry from Alexandria via LeMat-Bulk: a geometry-optimized La12Sm7Dy structure (PBE).

total magnetization = 0.00 μB/cell
space-group type = R-3, No. 148

Unit cell a=8.931 b=8.931 c=8.931 alpha=89.54 beta=89.54 gamma=89.54
Fractional coordinates of all 20 atoms:
La 0.739 0.281 0.145
Sm 0.935 0.860 0.620
Sm 0.380 0.065 0.140
La 0.516 0.392 0.857
Sm 0.065 0.140 0.380
La 0.719 0.855 0.261
La 0.143 0.484 0.608
La 0.855 0.261 0.719
Sm 0.140 0.380 0.065
La 0.261 0.719 0.855
La 0.392 0.857 0.516
La 0.608 0.143 0.484
Sm 0.500 0.500 0.500
Dy 0.000 0.000 0.000
La 0.484 0.608 0.143
La 0.145 0.739 0.281
La 0.281 0.145 0.739
Sm 0.620 0.935 0.860
Sm 0.860 0.620 0.935
La 0.857 0.516 0.392



Short version: entry a, entry b, most stable first.



Entry a
Entry from Alexandria via LeMat-Bulk: a geometry-optimized LaSmDyTh structure (PBE).

total magnetization = 0.00 μB/cell
space-group type = F-43m, No. 216

Unit cell a=5.756 b=5.756 c=5.756 alpha=60.00 beta=60.00 gamma=60.00
Fractional coordinates of all 4 atoms:
Sm 0.500 0.500 0.500
Th 0.750 0.750 0.750
La 0.250 0.250 0.250
Dy 0.000 0.000 0.000



Entry b
Entry from Alexandria via LeMat-Bulk: a geometry-optimized LaSmDyTh structure (PBE).

total magnetization = 0.00 μB/cell
space-group type = P4mm, No. 99

Unit cell a=3.616 b=3.616 c=10.299 alpha=90.00 beta=90.00 gamma=90.00
Fractional coordinates of all 4 atoms:
La 0.000 0.000 0.074
Th 0.000 0.000 0.568
Dy 0.500 0.500 0.335
Sm 0.500 0.500 0.807



Short version: entry b, entry a, most stable first.



Entry a
Entry from Alexandria via LeMat-Bulk: a geometry-optimized LaSmDyTl structure (PBE).

total magnetization = 1.25 μB/cell
space-group type = F-43m, No. 216

Unit cell a=5.608 b=5.608 c=5.608 alpha=60.00 beta=60.00 gamma=60.00
Each line ends with the local moment (μB).
Fractional coordinates of all 4 atoms:
Tl 0.000 0.000 0.000  0.00
Sm 0.250 0.250 0.250  0.21
La 0.750 0.750 0.750  0.18
Dy 0.500 0.500 0.500  0.37



Entry b
Entry from Alexandria via LeMat-Bulk: a geometry-optimized LaSmDyTl structure (PBE).

total magnetization = 0.01 μB/cell
space-group type = F-43m, No. 216

Unit cell a=5.536 b=5.536 c=5.537 alpha=119.99 beta=119.99 gamma=90.00
Fractional coordinates of all 4 atoms:
Dy 0.000 0.000 0.000
La 0.750 0.250 0.500
Tl 0.250 0.750 0.500
Sm 0.500 0.500 0.000



Short version: entry a, entry b, most stable first.



Entry a
Entry from Alexandria via LeMat-Bulk: a geometry-optimized LaSmDyY structure (PBE).

total magnetization = 0.00 μB/cell
space-group type = I-4m2, No. 119

Unit cell a=5.143 b=5.143 c=6.271 alpha=114.22 beta=114.22 gamma=89.99
Fractional coordinates of all 4 atoms:
Sm 0.750 0.250 0.500
La 0.000 0.000 0.000
Dy 0.250 0.750 0.500
Y 0.500 0.500 0.000



Entry b
Entry from Alexandria via LeMat-Bulk: a geometry-optimized LaSmDyY structure (PBE).

total magnetization = 0.00 μB/cell
space-group type = F-43m, No. 216

Unit cell a=5.774 b=5.774 c=5.774 alpha=60.00 beta=60.00 gamma=60.00
Fractional coordinates of all 4 atoms:
La 0.250 0.250 0.250
Dy 0.000 0.000 0.000
Y 0.500 0.500 0.500
Sm 0.750 0.750 0.750



Short version: entry a, entry b, most stable first.



Entry a
Entry from Alexandria via LeMat-Bulk: a geometry-optimized LaDySn structure (PBE).

total magnetization = 1.69 μB/cell
space-group type = Cmcm, No. 63

Unit cell a=6.810 b=5.519 c=5.519 alpha=118.36 beta=90.00 gamma=90.00
Each line ends with the local moment (μB).
Fractional coordinates of all 6 atoms:
Sn 0.250 0.328 0.672  -0.01
Sn 0.750 0.672 0.328  -0.01
La 0.250 0.666 0.334  0.16
Dy 0.500 0.000 0.000  0.36
La 0.750 0.334 0.666  0.16
Dy 0.000 0.000 0.000  0.36



Entry b
Entry from Alexandria via LeMat-Bulk: a geometry-optimized LaDySn structure (PBE).

total magnetization = 1.23 μB/cell
space-group type = I4/mmm, No. 139

Unit cell a=4.699 b=9.311 c=4.698 alpha=75.38 beta=90.00 gamma=104.61
Each line ends with the local moment (μB).
Fractional coordinates of all 6 atoms:
Dy 0.000 0.000 0.000  0.09
La 0.177 0.355 0.323  0.18
Sn 0.371 0.742 0.129  -0.02
La 0.823 0.645 0.677  0.18
Dy 0.500 0.000 0.500  0.09
Sn 0.629 0.258 0.871  -0.02



Entry c
Entry from Alexandria via LeMat-Bulk: a geometry-optimized LaDySn structure (PBE).

total magnetization = 0.00 μB/cell
space-group type = I4mm, No. 107

Unit cell a=4.181 b=4.181 c=5.854 alpha=110.92 beta=110.92 gamma=90.00
Fractional coordinates of all 3 atoms:
Sn 0.291 0.291 0.581
Dy 0.933 0.933 0.867
La 0.626 0.626 0.252



Short version: entry b, entry a, entry c, most stable first.